1.
Material: V3CrP6O24
Method: DFT, PBEsol
State: optimized geometry

Summary:
Space group ... R3
Crystal system ... trigonal

Cell lengths 8.3427, 8.3427, 8.6234 Å; angles 61.07, 61.07, 60.00 degrees
Fractional coordinates of all 34 atoms:
V (0.1419, 0.1419, 0.5744)
V (0.3603, 0.3603, 0.9191)
V (0.6383, 0.6383, 0.0852)
Cr (0.8571, 0.8571, 0.4288)
P (0.4731, 0.0314, 0.7477)
P (0.7478, 0.4731, 0.7477)
P (0.0314, 0.7478, 0.7477)
P (0.9687, 0.2491, 0.2520)
P (0.2491, 0.5302, 0.2520)
P (0.5302, 0.9687, 0.2520)
O (0.4925, 0.1307, 0.0715)
O (0.1307, 0.3052, 0.0715)
O (0.3016, 0.0380, 0.7164)
O (0.3052, 0.4925, 0.0715)
O (0.4089, 0.2279, 0.7745)
O (0.6583, 0.0171, 0.5815)
O (0.9439, 0.3016, 0.7164)
O (0.5887, 0.4089, 0.7745)
O (0.2279, 0.5887, 0.7745)
O (0.9899, 0.2502, 0.4193)
O (0.9716, 0.0563, 0.2752)
O (0.2502, 0.3405, 0.4193)
O (0.7431, 0.6583, 0.5815)
O (0.0380, 0.9439, 0.7164)
O (0.0171, 0.7431, 0.5815)
O (0.7729, 0.4152, 0.2303)
O (0.4152, 0.5816, 0.2303)
O (0.0563, 0.6969, 0.2752)
O (0.3405, 0.9899, 0.4193)
O (0.5816, 0.7729, 0.2303)
O (0.7062, 0.4998, 0.9290)
O (0.6969, 0.9716, 0.2752)
O (0.8649, 0.7062, 0.9290)
O (0.4998, 0.8649, 0.9290)

2.
Material: V5CrP6O24
Method: DFT, PBEsol
State: optimized geometry

Summary:
Space group ... R3
Crystal system ... trigonal

Cell lengths 8.3181, 8.3181, 8.3181 Å; angles 61.53, 61.53, 61.53 degrees
Fractional coordinates of all 36 atoms:
V (0.9986, 0.9986, 0.9986)
V (0.6406, 0.6406, 0.6406)
V (0.5003, 0.5003, 0.5003)
V (0.8601, 0.8601, 0.8601)
V (0.3607, 0.3607, 0.3607)
Cr (0.1401, 0.1401, 0.1401)
P (0.9591, 0.2504, 0.5393)
P (0.5393, 0.9591, 0.2504)
P (0.2504, 0.5393, 0.9591)
P (0.7520, 0.4571, 0.0418)
P (0.4571, 0.0418, 0.7520)
P (0.0418, 0.7520, 0.4571)
O (0.4996, 0.1152, 0.3226)
O (0.3226, 0.4996, 0.1152)
O (0.1152, 0.3226, 0.4996)
O (0.9425, 0.0928, 0.7447)
O (0.9964, 0.1793, 0.3844)
O (0.7539, 0.4079, 0.5587)
O (0.7447, 0.9425, 0.0928)
O (0.5587, 0.7539, 0.4079)
O (0.8218, 0.6159, 0.9997)
O (0.4079, 0.5587, 0.7539)
O (0.9090, 0.2532, 0.0567)
O (0.6159, 0.9997, 0.8218)
O (0.3844, 0.9964, 0.1793)
O (0.0928, 0.7447, 0.9425)
O (0.5947, 0.4408, 0.2468)
O (0.1793, 0.3844, 0.9964)
O (0.4408, 0.2468, 0.5947)
O (0.2532, 0.0567, 0.9090)
O (0.2468, 0.5947, 0.4408)
O (0.9997, 0.8218, 0.6159)
O (0.0567, 0.9090, 0.2532)
O (0.8856, 0.6780, 0.4997)
O (0.6780, 0.4997, 0.8856)
O (0.4997, 0.8856, 0.6780)

3.
Material: VCrP2O8
Method: DFT, PBEsol
State: optimized geometry

Summary:
Space group ... R3
Crystal system ... trigonal

Cell lengths 8.3639, 8.3639, 8.3639 Å; angles 60.93, 60.93, 60.93 degrees
Fractional coordinates of all 36 atoms:
V (0.3578, 0.3578, 0.3578)
V (0.1417, 0.1417, 0.1417)
V (0.6419, 0.6419, 0.6419)
Cr (0.9999, 0.9999, 0.9999)
Cr (0.8590, 0.8590, 0.8590)
Cr (0.4996, 0.4996, 0.4996)
P (0.0426, 0.4584, 0.7504)
P (0.4584, 0.7504, 0.0426)
P (0.7504, 0.0426, 0.4584)
P (0.2495, 0.9562, 0.5436)
P (0.5436, 0.2495, 0.9562)
P (0.9562, 0.5436, 0.2495)
O (0.4970, 0.6810, 0.8854)
O (0.6810, 0.8854, 0.4970)
O (0.8854, 0.4970, 0.6810)
O (0.0592, 0.2536, 0.9102)
O (0.0039, 0.6146, 0.8192)
O (0.2464, 0.4398, 0.5895)
O (0.2536, 0.9102, 0.0592)
O (0.4398, 0.5895, 0.2464)
O (0.1825, 0.9975, 0.3839)
O (0.5895, 0.2464, 0.4398)
O (0.0894, 0.9416, 0.7468)
O (0.3839, 0.1825, 0.9975)
O (0.6146, 0.8192, 0.0039)
O (0.9102, 0.0592, 0.2536)
O (0.4096, 0.7527, 0.5604)
O (0.8192, 0.0039, 0.6146)
O (0.5604, 0.4096, 0.7527)
O (0.7468, 0.0894, 0.9416)
O (0.7527, 0.5604, 0.4096)
O (0.9975, 0.3839, 0.1825)
O (0.9416, 0.7468, 0.0894)
O (0.1145, 0.5012, 0.3194)
O (0.3194, 0.1145, 0.5012)
O (0.5012, 0.3194, 0.1145)

Number 1: V 431 Å³/cell, formation energy (no corrections) -2.188 eV/atom. Number 2: V 421 Å³/cell, formation energy (no corrections) -2.193 eV/atom. Number 3: V 422 Å³/cell, formation energy (no corrections) -2.129 eV/atom.